Entry 1:
The following is a PBE calculation of an optimized crystal structure of Tb7Pr2Tm2, from Alexandria via LeMat-Bulk.

relative energy among the computed polymorphs	0.0	kJ/mol of formula units
D(E_F)	1.586	states/eV/atom

Unit cell a=11.290 b=11.515 c=6.095 alpha=90.00 beta=113.46 gamma=90.00
Space group C2/m (No. 12)
Asymmetric unit:
Tb  0.000  0.000  0.000 x2
Tb  0.177  0.236  0.181 x8
Tb  0.226  0.000  0.582 x4
Pr  0.085  0.500  0.804 x4
Tm  0.000  0.215  0.500 x4

Entry 2:
The following is a PBE calculation of an optimized crystal structure of HgHRh2, from Alexandria via LeMat-Bulk.

relative energy among the computed polymorphs	20.5	kJ/mol of formula units
D(E_F)	1.040	states/eV/atom

Unit cell a=2.9220 b=2.9220 c=21.8520 alpha=90.00 beta=90.00 gamma=120.00
Space group R3m (No. 160, hexagonal axes)
Asymmetric unit:
Hg  0.0000  0.0000  0.0000 x3
H  0.0000  0.0000  0.4346 x3
Rh  0.0000  0.0000  0.1296 x3
Rh  0.0000  0.0000  0.5600 x3

Entry 3:
The following is a PBE calculation of an optimized crystal structure of InSiHg2, from Alexandria via LeMat-Bulk.

formation energy without anion corrections	303	meV/atom
D(E_F)	0.364	states/eV/atom

Unit cell a=3.850 b=4.432 c=5.847 alpha=90.00 beta=90.00 gamma=90.00
Space group Pmm2 (No. 25)
Asymmetric unit:
In  0.000  0.000  0.000 x1
Si  0.500  0.500  0.000 x1
Hg  0.000  0.000  0.500 x1
Hg  0.500  0.500  0.501 x1

Entry 4:
The following is a PBE calculation of an optimized crystal structure of MoAs2Rh2, from Alexandria via LeMat-Bulk.

D(E_F)	0.707	states/eV/atom
final energy	-7.046	eV/atom

Unit cell a=7.224 b=7.224 c=2.919 alpha=90.00 beta=90.00 gamma=90.00
Space group P4/mbm (No. 127)
Asymmetric unit:
Mo  0.000  0.000  0.000 x2
As  0.158  0.342  0.000 x4
Rh  0.145  0.645  0.500 x4

Entry 5:
The following is a PBE calculation of an optimized crystal structure of CeCdHg6, from Alexandria via LeMat-Bulk.

D(E_F)	1.276	states/eV/atom
final energy	-1.211	eV/atom

Unit cell a=5.004 b=7.388 c=11.112 alpha=90.00 beta=90.00 gamma=90.00
Space group Amm2 (No. 38)
Asymmetric unit:
Ce  0.000  0.000  0.000 x2
Cd  0.500  0.000  0.230 x2
Hg  0.000  0.000  0.482 x2
Hg  0.000  0.244  0.744 x4
Hg  0.500  0.000  0.798 x2
Hg  0.500  0.218  0.518 x4

Entry 6:
The following is a PBE calculation of an optimized crystal structure of TeAsBr2Cl, from Alexandria via LeMat-Bulk.

relative energy among the computed polymorphs	188.0	kJ/mol of formula units
formation energy without anion corrections	727	meV/atom
D(E_F)	0.662	states/eV/atom

Unit cell a=5.119 b=5.119 c=5.503 alpha=90.00 beta=90.00 gamma=90.00
Space group P4/mmm (No. 123)
Asymmetric unit:
Te  0.000  0.000  0.000 x1
As  0.500  0.500  0.000 x1
Br  0.000  0.500  0.500 x2
Cl  0.500  0.500  0.500 x1

Entry 7:
The following is a PBE calculation of an optimized crystal structure of KAu5, from Alexandria via LeMat-Bulk.

relative energy among the computed polymorphs	133.8	kJ/mol of formula units
D(E_F)	0.294	states/eV/atom

Unit cell a=5.175 b=15.885 c=3.021 alpha=90.00 beta=90.00 gamma=90.00
Space group Cmmm (No. 65)
Asymmetric unit:
K  0.000  0.000  0.000 x2
Au  0.000  0.197  0.500 x4
Au  0.000  0.350  0.000 x4
Au  0.000  0.500  0.500 x2

Entry 8:
The following is a PBE calculation of an optimized crystal structure of ScCrP2, from Alexandria via LeMat-Bulk.

relative energy among the computed polymorphs	145.0	kJ/mol of formula units
D(E_F)	0.567	states/eV/atom

Unit cell a=3.748 b=5.024 c=6.636 alpha=90.00 beta=90.00 gamma=90.00
Space group Cmmm (No. 65)
Asymmetric unit:
Sc  0.000  0.000  0.000 x2
Cr  0.000  0.000  0.500 x2
P  0.000  0.500  0.271 x4

Number 4 is which compound? MoAs2Rh2

What did the eighth record say?
The following is a PBE calculation of an optimized crystal structure of ScCrP2, from Alexandria via LeMat-Bulk.

relative energy among the computed polymorphs	145.0	kJ/mol of formula units
D(E_F)	0.567	states/eV/atom

Unit cell a=3.748 b=5.024 c=6.636 alpha=90.00 beta=90.00 gamma=90.00
Space group Cmmm (No. 65)
Asymmetric unit:
Sc  0.000  0.000  0.000 x2
Cr  0.000  0.000  0.500 x2
P  0.000  0.500  0.271 x4

Among the records above, which one has the highest D(E_F)? Tb7Pr2Tm2

Copy entry 7 word for word.
The following is a PBE calculation of an optimized crystal structure of KAu5, from Alexandria via LeMat-Bulk.

relative energy among the computed polymorphs	133.8	kJ/mol of formula units
D(E_F)	0.294	states/eV/atom

Unit cell a=5.175 b=15.885 c=3.021 alpha=90.00 beta=90.00 gamma=90.00
Space group Cmmm (No. 65)
Asymmetric unit:
K  0.000  0.000  0.000 x2
Au  0.000  0.197  0.500 x4
Au  0.000  0.350  0.000 x4
Au  0.000  0.500  0.500 x2